[1]
5
Lattice="-1.551 -3.519 -2.349 1.217 -2.768 3.343 -4.053 0.516 1.903" Properties=species:S:1:pos:R:3 comment="PBE Re3SiCl, optimized geometry" rho_g_cm3=11.3 vol_a3_per_cell=91.5 raw_formation_energy_ev_per_fu=9.85 space_group="Pm-3m, No. 221" final_energy_ev_per_atom=-6.953 pbc="T T T"
Re -0.776 -1.760 -1.175
Re -2.026 0.258 0.951
Re 0.608 -1.384 1.671
Cl -2.194 -2.885 1.448
Si 0.000 0.000 0.000

=====

[2]
4
Lattice="4.764 0.000 0.000 0.000 3.558 0.000 0.000 0.000 3.558" Properties=species:S:1:pos:R:3 comment="PBE ReSi2Cl, optimized geometry" rho_g_cm3=7.6 vol_a3_per_cell=60.3 raw_formation_energy_ev_per_fu=4.16 space_group="P4/mmm, No. 123" final_energy_ev_per_atom=-5.244 pbc="T T T"
Si 0.000 1.779 1.779
Si 0.000 0.000 0.000
Re 2.382 0.000 1.779
Cl 2.382 1.779 0.000

=====

[3]
4
Lattice="-3.234 -2.309 -6.409 -0.374 -2.829 -6.980 -0.542 -3.976 0.910" Properties=species:S:1:pos:R:3 comment="PBE ReSiCl2, optimized geometry" rho_g_cm3=5.3 vol_a3_per_cell=88.8 raw_formation_energy_ev_per_fu=0.27 space_group="C2/m, No. 12" final_energy_ev_per_atom=-5.324 pbc="T T T"
Cl -1.710 -4.248 -4.692
Cl -0.907 -4.284 -0.637
Re -3.113 -6.835 -9.359
Si -1.038 -2.278 -3.120

=====

[4]
8
Lattice="5.820 0.000 0.000 0.000 5.820 0.000 2.910 2.910 5.582" Properties=species:S:1:pos:R:3 comment="PBE ReSi2Cl, optimized geometry" rho_g_cm3=4.9 vol_a3_per_cell=189.1 raw_formation_energy_ev_per_fu=2.41 space_group="I-42d, No. 122" final_energy_ev_per_atom=-5.684 pbc="T T T"
Re 5.820 2.910 2.791
Re 0.000 0.000 0.000
Cl 2.910 5.820 2.791
Cl 2.910 2.910 0.000
Si 4.695 1.455 1.396
Si 4.365 4.035 4.187
Si 7.275 7.605 4.187
Si 1.125 4.365 1.396

=====

[5]
4
Lattice="4.584 0.000 0.000 0.000 4.584 0.000 0.000 0.000 3.043" Properties=species:S:1:pos:R:3 comment="PBE ReSiCl2, optimized geometry" rho_g_cm3=7.4 vol_a3_per_cell=63.9 raw_formation_energy_ev_per_fu=4.79 space_group="P4/mmm, No. 123" final_energy_ev_per_atom=-4.194 pbc="T T T"
Cl 2.292 2.292 0.000
Cl 0.000 0.000 0.000
Re 2.292 0.000 1.521
Si 0.000 2.292 1.521

=====

[6]
6
Lattice="0.000 3.568 3.568 3.568 0.000 3.568 3.568 3.568 0.000" Properties=species:S:1:pos:R:3 comment="PBE ReSi4Cl, optimized geometry" rho_g_cm3=6.1 vol_a3_per_cell=90.8 raw_formation_energy_ev_per_fu=5.03 space_group="F-43m, No. 216" final_energy_ev_per_atom=-5.159 pbc="T T T"
Si 2.679 4.457 4.457
Si 4.457 2.679 4.457
Si 2.679 2.679 2.679
Si 4.457 4.457 2.679
Re 0.000 0.000 0.000
Cl 5.352 5.352 5.352